Below is an optimized crystal structure of La3GaIr, with properties calculated at the PBE level.

Calculated values
Spin magnetization, μB/cell: 0.00
Space-group type: Pm-3m
Relative energy among the computed polymorphs, meV/atom: 239
Uncorrected energy, eV for the cell shown: -28.30
V, A^3/atom: 36.24

Unit cell a=5.6587 b=5.6587 c=5.6587 alpha=90.00 beta=90.00 gamma=90.00
Last column: nearest neighbours and their distance in Å.
Fractional positions:
La: 0.5000 0.0000 0.0000  2 Ir 2.83
La: 0.0000 0.5000 0.0000  2 Ir 2.83
La: 0.0000 0.0000 0.5000  2 Ir 2.83
Ir: 0.0000 0.0000 0.0000  6 La 2.83
Ga: 0.5000 0.5000 0.5000  12 La 4.00